{
  "formula": "CdCoPI2",
  "functional": "PBE",
  "state": "optimized geometry",
  "e_form_raw_mev_per_atom": 218.2,
  "relative_energy_mev_per_atom": 0,
  "rho_g_cm3": 5.9,
  "magmom_total_mub_per_cell": 0.00,
  "dft_energy_ev_per_atom": -3.0880,
  "cell": [[5.574, 0.000, 0.000], [0.000, 5.574, 0.000], [0.000, 0.000, 4.138]],
  "species": ["Cd", "Co", "P", "I", "I"],
  "fractional_positions": [[0.000, 0.000, 0.000], [0.500, 0.500, 0.500], [0.500, 0.500, 0.000], [0.000, 0.500, 0.500], [0.500, 0.000, 0.500]]
}



{
  "formula": "SrCdCo2I",
  "functional": "PBE",
  "state": "optimized geometry",
  "e_form_raw_mev_per_atom": 709.6,
  "rho_g_cm3": 4.8,
  "magmom_total_mub_per_cell": 3.47,
  "dft_energy_ev_per_atom": -2.9621,
  "cell": [[4.944, 0.000, 0.000], [0.000, 4.944, 0.000], [0.000, 0.000, 6.337]],
  "species": ["Sr", "Cd", "Co", "Co", "I"],
  "fractional_positions": [[0.000, 0.000, 0.000], [0.500, 0.500, 0.500], [0.000, 0.500, 0.500], [0.500, 0.000, 0.500], [0.500, 0.500, 0.000]]
}